Nd2PuRhN4 (PBE, optimized geometry); raw formation energy = -0.759 eV per atom
1.0
1.703 -5.885 0.000
1.703 5.885 0.000
0.000 0.000 12.063
Nd Pu Rh N
4 2 2 8
direct
0.130 0.870 0.551
0.130 0.870 0.949
0.870 0.130 0.051
0.870 0.130 0.449
0.386 0.614 0.750
0.614 0.386 0.250
0.351 0.649 0.250
0.649 0.351 0.750
0.036 0.964 0.750
0.214 0.786 0.140
0.214 0.786 0.360
0.500 0.500 0.000
0.500 0.500 0.500
0.786 0.214 0.640
0.786 0.214 0.860
0.964 0.036 0.250

NdPu2RhN4 (PBE, optimized geometry); raw formation energy = -0.920 eV per atom
1.0
1.717 -5.762 0.000
1.717 5.762 0.000
0.000 0.000 11.720
Nd Pu Rh N
2 4 2 8
direct
0.109 0.891 0.750
0.891 0.109 0.250
0.370 0.630 0.555
0.370 0.630 0.945
0.630 0.370 0.055
0.630 0.370 0.445
0.153 0.847 0.250
0.847 0.153 0.750
0.000 0.000 0.000
0.000 0.000 0.500
0.267 0.733 0.106
0.267 0.733 0.394
0.452 0.548 0.750
0.548 0.452 0.250
0.733 0.267 0.606
0.733 0.267 0.894

NdPu2RuN4 (PBE, optimized geometry); raw formation energy = -0.916 eV per atom
1.0
1.696 -5.853 0.000
1.696 5.853 0.000
0.000 0.000 11.608
Nd Pu Ru N
2 4 2 8
direct
0.111 0.889 0.750
0.889 0.111 0.250
0.369 0.631 0.551
0.369 0.631 0.949
0.631 0.369 0.051
0.631 0.369 0.449
0.149 0.851 0.250
0.851 0.149 0.750
0.000 0.000 0.000
0.000 0.000 0.500
0.267 0.733 0.116
0.267 0.733 0.384
0.454 0.546 0.750
0.546 0.454 0.250
0.733 0.267 0.616
0.733 0.267 0.884

NdPuS2N (PBE, optimized geometry); raw formation energy = -1.644 eV per atom
1.0
3.887 0.000 0.000
0.000 3.887 0.000
0.000 0.000 14.181
Nd Pu S N
2 2 4 2
direct
0.250 0.250 0.129
0.750 0.750 0.871
0.250 0.250 0.580
0.750 0.750 0.420
0.250 0.250 0.318
0.250 0.250 0.909
0.750 0.750 0.091
0.750 0.750 0.682
0.250 0.750 0.500
0.750 0.250 0.500

Nd2PuS2N2 (PBE, optimized geometry); raw formation energy = -1.560 eV per atom
1.0
-2.143 2.143 7.424
2.143 -2.143 7.424
2.143 2.143 -7.424
Nd Pu S N
2 1 2 2
direct
0.125 0.125 0.000
0.875 0.875 0.000
0.500 0.500 0.000
0.318 0.318 0.000
0.682 0.682 0.000
0.000 0.500 0.500
0.500 0.000 0.500

NdPuSN (PBE, optimized geometry); raw formation energy = -1.577 eV per atom
1.0
1.865 1.077 6.385
-1.865 1.077 6.385
0.000 -2.153 6.385
Nd Pu S N
1 1 1 1
direct
0.000 0.000 0.000
0.476 0.476 0.476
0.235 0.235 0.235
0.744 0.744 0.744

Nd2Pu4Sb3N2 (PBE, optimized geometry); raw formation energy = -0.975 eV per atom
1.0
-2.319 2.319 13.131
2.319 -2.319 13.131
2.319 2.319 -13.131
Nd Pu Sb N
2 4 3 2
direct
0.196 0.196 0.000
0.804 0.804 0.000
0.085 0.585 0.500
0.415 0.915 0.500
0.585 0.085 0.500
0.915 0.415 0.500
0.322 0.322 0.000
0.500 0.500 0.000
0.678 0.678 0.000
0.103 0.103 0.000
0.897 0.897 0.000

Nd4Pu2Sb3N2 (PBE, optimized geometry); raw formation energy = -0.991 eV per atom
1.0
-2.419 2.419 12.798
2.419 -2.419 12.798
2.419 2.419 -12.798
Nd Pu Sb N
4 2 3 2
direct
0.085 0.585 0.500
0.415 0.915 0.500
0.585 0.085 0.500
0.915 0.415 0.500
0.193 0.193 0.000
0.807 0.807 0.000
0.321 0.321 0.000
0.500 0.500 0.000
0.679 0.679 0.000
0.108 0.108 0.000
0.892 0.892 0.000

no.,DOS at the Fermi energy (states/eV/cell)
1,11.80
2,26.89
3,25.49
4,11.19
5,5.36
6,6.47
7,24.23
8,23.68